No. 1
The following is a DFT calculation (meta-GGA SCAN) of a PBEsol-optimized structure of YNiH3.

**Symmetry**: Pm-3m, No. 221

Lattice parameters (Å, degrees): 3.477 3.477 3.477 90.00 90.00 90.00
Positions (direct):
1 Y 0.000 0.000 0.000
2 Ni 0.500 0.500 0.500
3 H 0.000 0.500 0.500
4 H 0.500 0.000 0.500
5 H 0.500 0.500 0.000

=====

No. 2
The following is a DFT calculation (meta-GGA SCAN) of a PBEsol-optimized structure of ZnSiSe2N.

**Symmetry**: P4/mmm, No. 123
**Formation energy from raw total energies**: 193 meV per atom

Lattice parameters (Å, degrees): 5.063 5.063 3.256 90.00 90.00 90.00
Positions (direct):
1 Zn 0.000 0.000 0.000
2 Si 0.500 0.500 0.500
3 Se 0.000 0.500 0.500
4 Se 0.500 0.000 0.500
5 N 0.500 0.500 0.000

=====

| no. | N(E_F) (states/eV per cell) | calculated total energy (eV per atom) |
| --- | --- | --- |
| 1 | 0.82 | -11.392 |
| 2 | 1.94 | -14.402 |